{"formula": "VCoN2", "functional": "PBE-GGA", "state": "optimized geometry", "de_polymorph_ev_per_atom": 0.000, "cell": [[4.355, 0.000, 0.000], [0.000, 4.355, 0.000], [2.177, 2.177, 4.346]], "species": ["Co", "Co", "N", "N", "N", "N", "V", "V"], "frac_coords": [[0.750, 0.250, 0.500], [0.000, 0.000, 0.000], [0.375, 0.378, 0.750], [0.875, 0.872, 0.750], [0.128, 0.625, 0.250], [0.622, 0.125, 0.250], [0.250, 0.750, 0.500], [0.500, 0.500, 0.000]]}



{"formula": "V3CoN", "functional": "PBE-GGA", "state": "optimized geometry", "cell": [[3.870, 0.000, 0.000], [0.000, 3.870, 0.000], [0.000, 0.000, 3.870]], "species": ["N", "V", "V", "V", "Co"], "frac_coords": [[0.000, 0.000, 0.000], [0.500, 0.000, 0.000], [0.000, 0.500, 0.000], [0.000, 0.000, 0.500], [0.500, 0.500, 0.500]]}



{"formula": "V3CoN", "functional": "PBE-GGA", "state": "optimized geometry", "cell": [[4.279, 0.000, 0.000], [0.000, 4.279, 0.000], [0.000, 0.000, 4.279]], "species": ["V", "V", "V", "N", "Co"], "frac_coords": [[0.000, 0.000, 0.500], [0.000, 0.500, 0.000], [0.500, 0.000, 0.000], [0.500, 0.500, 0.500], [0.000, 0.000, 0.000]]}



{"formula": "V6CoN", "functional": "PBE-GGA", "state": "optimized geometry", "cell": [[-2.248, -3.673, -0.773], [2.984, -3.641, -1.581], [1.323, -1.620, 4.405]], "species": ["Co", "V", "V", "V", "V", "V", "V", "N"], "frac_coords": [[0.500, 0.500, 0.500], [0.584, 0.247, 0.099], [0.416, 0.753, 0.901], [0.208, 0.062, 0.348], [0.792, 0.938, 0.652], [0.065, 0.351, 0.788], [0.935, 0.649, 0.212], [0.000, 0.000, 0.000]]}



{"formula": "V3Co3N", "functional": "PBE-GGA", "state": "optimized geometry", "cell": [[-5.680, 1.831, 4.601], [-1.913, -4.612, 5.644], [1.417, 1.982, 7.130]], "species": ["Co", "Co", "Co", "Co", "Co", "Co", "Co", "Co", "Co", "Co", "Co", "Co", "N", "N", "N", "N", "V", "V", "V", "V", "V", "V", "V", "V", "V", "V", "V", "V"], "frac_coords": [[0.835, 0.835, 0.495], [0.625, 0.125, 0.625], [0.415, 0.415, 0.415], [0.625, 0.625, 0.625], [0.625, 0.625, 0.125], [0.495, 0.835, 0.835], [0.125, 0.625, 0.625], [0.835, 0.495, 0.835], [0.415, 0.755, 0.415], [0.755, 0.415, 0.415], [0.835, 0.835, 0.835], [0.415, 0.415, 0.755], [0.125, 0.625, 0.125], [0.125, 0.125, 0.625], [0.125, 0.125, 0.125], [0.625, 0.125, 0.125], [0.193, 0.807, 0.807], [0.807, 0.807, 0.193], [0.807, 0.193, 0.807], [0.193, 0.807, 0.193], [0.443, 0.057, 0.443], [0.057, 0.443, 0.443], [0.057, 0.443, 0.057], [0.057, 0.057, 0.443], [0.443, 0.057, 0.057], [0.193, 0.193, 0.807], [0.807, 0.193, 0.193], [0.443, 0.443, 0.057]]}



{"formula": "V4Co2N", "functional": "PBE-GGA", "state": "optimized geometry", "de_polymorph_ev_per_atom": 0.000, "cell": [[7.653, 0.000, 0.000], [3.827, 6.628, 0.000], [3.827, 2.209, 6.249]], "species": ["V", "V", "V", "V", "V", "V", "V", "V", "V", "V", "V", "V", "V", "V", "V", "V", "Co", "Co", "Co", "Co", "Co", "Co", "Co", "Co", "N", "N", "N", "N"], "frac_coords": [[0.184, 0.816, 0.816], [0.816, 0.184, 0.816], [0.434, 0.066, 0.066], [0.125, 0.625, 0.625], [0.434, 0.434, 0.066], [0.184, 0.816, 0.184], [0.066, 0.066, 0.434], [0.625, 0.625, 0.625], [0.816, 0.816, 0.184], [0.184, 0.184, 0.816], [0.434, 0.066, 0.434], [0.066, 0.434, 0.434], [0.066, 0.434, 0.066], [0.816, 0.184, 0.184], [0.625, 0.625, 0.125], [0.625, 0.125, 0.625], [0.834, 0.834, 0.497], [0.834, 0.834, 0.834], [0.753, 0.416, 0.416], [0.834, 0.497, 0.834], [0.416, 0.416, 0.416], [0.497, 0.834, 0.834], [0.416, 0.753, 0.416], [0.416, 0.416, 0.753], [0.125, 0.125, 0.625], [0.125, 0.125, 0.125], [0.625, 0.125, 0.125], [0.125, 0.625, 0.125]]}



{"formula": "V6Co3N", "functional": "PBE-GGA", "state": "optimized geometry", "cell": [[6.723, 0.811, 0.573], [3.787, 4.861, 0.421], [3.787, 2.022, 4.441]], "species": ["V", "V", "V", "V", "V", "V", "N", "Co", "Co", "Co"], "frac_coords": [[0.577, 0.346, 0.847], [0.577, 0.847, 0.346], [0.953, 0.247, 0.247], [0.423, 0.153, 0.654], [0.047, 0.753, 0.753], [0.423, 0.654, 0.153], [0.500, 0.500, 0.500], [0.868, 0.645, 0.645], [0.000, 0.000, 0.000], [0.132, 0.355, 0.355]]}



{"formula": "V2CoN", "functional": "PBE-GGA", "state": "optimized geometry", "cell": [[2.825, 0.000, 0.000], [1.412, 2.446, 0.000], [1.412, 0.815, 6.260]], "species": ["Co", "V", "V", "N"], "frac_coords": [[0.500, 0.500, 0.500], [0.273, 0.273, 0.180], [0.727, 0.727, 0.820], [0.000, 0.000, 0.000]]}



Calculated mass density (g/cm³), listed in the same order as above: 5.56 6.47 4.78 6.43 7.54 7.03 6.82 6.71
Calculated total DFT energy (no corrections) (eV/atom), listed in the same order as above: -8.662 -9.061 -6.958 -9.104 -8.593 -8.956 -8.606 -8.975
Calculated energy relative to the elements, uncorrected (kJ/mol of formula units), listed in the same order as above: -171 -243 772 -260 -304 -355 -165 -215